ScAuS2N | PBE | optimized geometry Values from VASP.

Geometry as Quantum ESPRESSO input:
```
&SYSTEM
  ibrav = 0, nat = 5, ntyp = 4
/
ATOMIC_SPECIES
Sc 44.96 Sc.upf
Au 196.97 Au.upf
S 32.06 S.upf
N 14.01 N.upf
CELL_PARAMETERS angstrom
4.9568 0.0000 0.0000
0.0000 4.9568 0.0000
0.0000 0.0000 3.8341
ATOMIC_POSITIONS angstrom
Sc 0.0000 0.0000 0.0000
Au 2.4784 2.4784 1.9170
S 0.0000 2.4784 1.9170
S 2.4784 0.0000 1.9170
N 2.4784 2.4784 0.0000
```

offset from the most stable computed form = 33 meV/atom
M_tot = 0.08 μB per cell
formation energy without anion corrections = 459.4 meV/atom
final energy = -23.892 eV per cell